## SrLa2Cd (PBE)

Data for SrLa2Cd after structural relaxation.

Unit cell a=3.8082 b=5.9990 c=6.3228 alpha=90.00 beta=99.66 gamma=90.00
Fractional coordinates of all 4 atoms:
Sr 0.0000 0.0000 0.0000
La 0.2936 0.5000 0.7104
La 0.7064 0.5000 0.2896
Cd 0.5000 0.0000 0.5000

Density of states at the Fermi level   5.4 states/eV/cell
Magnetization   0.00 μB per formula unit
V   35.60 A^3/atom
Formation enthalpy at 0 K   -0.03 eV per atom
Electronic total energy   -12.56 eV/cell


## Pr2Be4GePt3 (PBE)

Data for Pr2Be4GePt3 after structural relaxation.

Unit cell a=4.0949 b=4.0949 c=9.7798 alpha=90.00 beta=90.00 gamma=90.00
Fractional coordinates of all 10 atoms:
Pr 0.0000 0.5000 0.2494
Pr 0.5000 0.0000 0.7506
Be 0.0000 0.0000 0.5000
Be 0.0000 0.5000 0.8658
Be 0.5000 0.0000 0.1342
Be 0.5000 0.5000 0.5000
Ge 0.5000 0.5000 0.0000
Pt 0.0000 0.0000 0.0000
Pt 0.0000 0.5000 0.6148
Pt 0.5000 0.0000 0.3852

Density of states at the Fermi level   7.3 states/eV/cell
Magnetization   0.00 μB per formula unit
V   16.40 A^3/atom
Formation enthalpy at 0 K   -0.70 eV per atom
Electronic total energy   -54.17 eV/cell


## Ta2MnBe16 (PBE)

Data for Ta2MnBe16 after structural relaxation.

Unit cell a=5.5873 b=5.5873 c=5.5873 alpha=83.85 beta=83.85 gamma=83.85
Fractional coordinates of all 19 atoms:
Ta 0.0000 0.0000 0.0000
Ta 0.3184 0.3184 0.3184
Mn 0.5524 0.5524 0.5524
Be 0.0027 0.0027 0.4943
Be 0.0027 0.4943 0.0027
Be 0.1562 0.6535 0.6535
Be 0.3059 0.3059 0.8096
Be 0.3059 0.8096 0.3059
Be 0.3649 0.6516 0.9382
Be 0.3649 0.9382 0.6516
Be 0.4943 0.0027 0.0027
Be 0.6516 0.3649 0.9382
Be 0.6516 0.9382 0.3649
Be 0.6535 0.1562 0.6535
Be 0.6535 0.6535 0.1562
Be 0.7589 0.7589 0.7589
Be 0.8096 0.3059 0.3059
Be 0.9382 0.3649 0.6516
Be 0.9382 0.6516 0.3649

Density of states at the Fermi level   5.7 states/eV/cell
Magnetization   0.00 μB per formula unit
V   9.03 A^3/atom
Formation enthalpy at 0 K   -0.17 eV per atom
Electronic total energy   -95.78 eV/cell


## CaDy2Ho (PBE)

Data for CaDy2Ho after structural relaxation.

Unit cell a=12.1015 b=12.1015 c=6.4198 alpha=94.04 beta=94.04 gamma=16.51
Fractional coordinates of all 8 atoms:
Ca 0.0013 0.0013 0.2492
Ca 0.9987 0.9987 0.7508
Dy 0.1359 0.1359 0.5455
Dy 0.3720 0.3720 0.9635
Dy 0.6280 0.6280 0.0365
Dy 0.8641 0.8641 0.4545
Ho 0.2484 0.2484 0.2482
Ho 0.7516 0.7516 0.7518

Density of states at the Fermi level   11.4 states/eV/cell
ΔE to the lowest computed polymorph   0.24 eV/f.u.
Magnetization   0.00 μB per formula unit
V   33.31 A^3/atom
Formation enthalpy at 0 K   0.12 eV per atom
Electronic total energy   -30.58 eV/cell